# 1
# K2Rb5Na3, optimized geometry, DFT PBE-GGA
# Calculated volume in Å³/atom: 69.598
# Total energy in eV per atom: -1.070
# Space group: C2/c
# Formation energy in eV/atom: 0.03
data_K2Rb5Na3
_space_group_name_H-M_alt 'P 1'
_space_group_IT_number 1
_cell_length_a 8.326
_cell_length_b 13.365
_cell_length_c 13.365
_cell_angle_alpha 110.34
_cell_angle_beta 91.92
_cell_angle_gamma 91.92
loop_
_space_group_symop_operation_xyz
'x,y,z'
loop_
_atom_site_label
_atom_site_type_symbol
_atom_site_fract_x
_atom_site_fract_y
_atom_site_fract_z
K1 K 0.895 0.609 0.145
K2 K 0.395 0.145 0.609
K3 K 0.105 0.391 0.855
K4 K 0.605 0.855 0.391
Rb1 Rb 0.560 0.280 0.973
Rb2 Rb 0.060 0.973 0.280
Rb3 Rb 0.440 0.720 0.027
Rb4 Rb 0.940 0.027 0.720
Rb5 Rb 0.958 0.714 0.826
Rb6 Rb 0.042 0.286 0.174
Rb7 Rb 0.750 0.541 0.459
Rb8 Rb 0.250 0.459 0.541
Rb9 Rb 0.542 0.174 0.286
Rb10 Rb 0.458 0.826 0.714
Na1 Na 0.632 0.448 0.755
Na2 Na 0.132 0.755 0.448
Na3 Na 0.368 0.552 0.245
Na4 Na 0.868 0.245 0.552
Na5 Na 0.250 0.012 0.988
Na6 Na 0.750 0.988 0.012

---

# 2
# LiAc2Zn3In4, optimized geometry, DFT PBE-GGA
# Calculated volume in Å³/atom: 24.703
# Total energy in eV per atom: -2.859
# Space group: P-4m2
# Formation energy in eV/atom: -0.37
data_LiAc2Zn3In4
_space_group_name_H-M_alt 'P 1'
_space_group_IT_number 1
_cell_length_a 4.654
_cell_length_b 4.654
_cell_length_c 11.407
_cell_angle_alpha 90.00
_cell_angle_beta 90.00
_cell_angle_gamma 90.00
loop_
_space_group_symop_operation_xyz
'x,y,z'
loop_
_atom_site_label
_atom_site_type_symbol
_atom_site_fract_x
_atom_site_fract_y
_atom_site_fract_z
Li1 Li 0.500 0.500 0.500
Ac1 Ac 0.500 0.000 0.252
Ac2 Ac 0.000 0.500 0.748
Zn1 Zn 0.000 0.000 0.500
Zn2 Zn 0.500 0.000 0.859
Zn3 Zn 0.000 0.500 0.141
In1 In 0.500 0.500 0.000
In2 In 0.000 0.000 0.000
In3 In 0.500 0.000 0.625
In4 In 0.000 0.500 0.375

---

# 3
# LiCdHRh2, optimized geometry, DFT PBE-GGA
# Calculated volume in Å³/atom: 12.571
# Total energy in eV per atom: -4.370
# Space group: P4/mmm
data_LiCdHRh2
_space_group_name_H-M_alt 'P 1'
_space_group_IT_number 1
_cell_length_a 3.915
_cell_length_b 3.915
_cell_length_c 4.100
_cell_angle_alpha 90.00
_cell_angle_beta 90.00
_cell_angle_gamma 90.00
loop_
_space_group_symop_operation_xyz
'x,y,z'
loop_
_atom_site_label
_atom_site_type_symbol
_atom_site_fract_x
_atom_site_fract_y
_atom_site_fract_z
H1 H 0.000 0.000 0.000
Li1 Li 0.000 0.000 0.500
Rh1 Rh 0.000 0.500 0.000
Rh2 Rh 0.500 0.000 0.000
Cd1 Cd 0.500 0.500 0.500

---

# 4
# MoSe, optimized geometry, DFT PBE-GGA
# Calculated volume in Å³/atom: 18.238
# Total energy in eV per atom: -7.189
# Space group: P6_3mc
data_MoSe
_space_group_name_H-M_alt 'P 1'
_space_group_IT_number 1
_cell_length_a 3.128
_cell_length_b 3.128
_cell_length_c 8.612
_cell_angle_alpha 90.00
_cell_angle_beta 90.00
_cell_angle_gamma 120.00
loop_
_space_group_symop_operation_xyz
'x,y,z'
loop_
_atom_site_label
_atom_site_type_symbol
_atom_site_fract_x
_atom_site_fract_y
_atom_site_fract_z
Mo1 Mo 0.333 0.667 0.692
Mo2 Mo 0.667 0.333 0.192
Se1 Se 0.333 0.667 0.390
Se2 Se 0.667 0.333 0.890

---

# 5
# Si2TcTe, optimized geometry, DFT PBE-GGA
# Calculated volume in Å³/atom: 16.749
# Total energy in eV per atom: -5.469
# Space group: I4/mmm
data_Si2TcTe
_space_group_name_H-M_alt 'P 1'
_space_group_IT_number 1
_cell_length_a 4.917
_cell_length_b 4.917
_cell_length_c 4.917
_cell_angle_alpha 130.59
_cell_angle_beta 130.59
_cell_angle_gamma 72.46
loop_
_space_group_symop_operation_xyz
'x,y,z'
loop_
_atom_site_label
_atom_site_type_symbol
_atom_site_fract_x
_atom_site_fract_y
_atom_site_fract_z
Si1 Si 0.000 0.000 0.000
Si2 Si 0.500 0.500 0.000
Tc1 Tc 0.250 0.750 0.500
Te1 Te 0.750 0.250 0.500

---

# 6
# ThTa2MoC4, optimized geometry, DFT PBE-GGA
# Calculated volume in Å³/atom: 13.435
# Total energy in eV per atom: -10.106
# Space group: Cmcm
# Formation energy in eV/atom: -0.25
data_ThTa2MoC4
_space_group_name_H-M_alt 'P 1'
_space_group_IT_number 1
_cell_length_a 3.313
_cell_length_b 6.022
_cell_length_c 11.204
_cell_angle_alpha 90.00
_cell_angle_beta 90.00
_cell_angle_gamma 105.97
loop_
_space_group_symop_operation_xyz
'x,y,z'
loop_
_atom_site_label
_atom_site_type_symbol
_atom_site_fract_x
_atom_site_fract_y
_atom_site_fract_z
Th1 Th 0.108 0.215 0.750
Th2 Th 0.892 0.785 0.250
Ta1 Ta 0.373 0.746 0.538
Ta2 Ta 0.627 0.254 0.038
Ta3 Ta 0.627 0.254 0.462
Ta4 Ta 0.373 0.746 0.962
Mo1 Mo 0.843 0.686 0.750
Mo2 Mo 0.157 0.314 0.250
C1 C 0.263 0.527 0.110
C2 C 0.737 0.473 0.610
C3 C 0.737 0.473 0.890
C4 C 0.263 0.527 0.390
C5 C 0.000 0.000 0.500
C6 C 0.000 0.000 0.000
C7 C 0.444 0.889 0.750
C8 C 0.556 0.111 0.250

---

# 7
# Nd4Al, optimized geometry, DFT PBE-GGA
# Calculated volume in Å³/atom: 37.421
# Total energy in eV per atom: -4.100
# Space group: Fd-3m
# Formation energy in eV/atom: 0.46
data_Nd4Al
_space_group_name_H-M_alt 'P 1'
_space_group_IT_number 1
_cell_length_a 8.089
_cell_length_b 8.089
_cell_length_c 8.089
_cell_angle_alpha 60.00
_cell_angle_beta 60.00
_cell_angle_gamma 60.00
loop_
_space_group_symop_operation_xyz
'x,y,z'
loop_
_atom_site_label
_atom_site_type_symbol
_atom_site_fract_x
_atom_site_fract_y
_atom_site_fract_z
Nd1 Nd 0.393 0.393 0.393
Nd2 Nd 0.820 0.393 0.393
Nd3 Nd 0.393 0.393 0.820
Nd4 Nd 0.430 0.857 0.857
Nd5 Nd 0.857 0.857 0.857
Nd6 Nd 0.393 0.820 0.393
Nd7 Nd 0.857 0.857 0.430
Nd8 Nd 0.857 0.430 0.857
Al1 Al 0.000 0.000 0.000
Al2 Al 0.250 0.250 0.250

---

# 8
# LaCuBr2, optimized geometry, DFT PBE-GGA
# Calculated volume in Å³/atom: 24.016
# Total energy in eV per atom: -3.905
# Space group: Pmmm
data_LaCuBr2
_space_group_name_H-M_alt 'P 1'
_space_group_IT_number 1
_cell_length_a 4.753
_cell_length_b 4.741
_cell_length_c 4.263
_cell_angle_alpha 90.00
_cell_angle_beta 90.00
_cell_angle_gamma 90.00
loop_
_space_group_symop_operation_xyz
'x,y,z'
loop_
_atom_site_label
_atom_site_type_symbol
_atom_site_fract_x
_atom_site_fract_y
_atom_site_fract_z
Br1 Br 0.000 0.000 0.000
Br2 Br 0.500 0.500 0.000
Cu1 Cu 0.500 0.000 0.500
La1 La 0.000 0.500 0.500

---

# 9
# CaTbTm2Se4, optimized geometry, DFT PBE-GGA
# Calculated volume in Å³/atom: 23.911
# Total energy in eV per atom: -5.461
# Space group: P2/m
data_CaTbTm2Se4
_space_group_name_H-M_alt 'P 1'
_space_group_IT_number 1
_cell_length_a 4.058
_cell_length_b 7.056
_cell_length_c 7.072
_cell_angle_alpha 70.84
_cell_angle_beta 90.00
_cell_angle_gamma 90.00
loop_
_space_group_symop_operation_xyz
'x,y,z'
loop_
_atom_site_label
_atom_site_type_symbol
_atom_site_fract_x
_atom_site_fract_y
_atom_site_fract_z
Ca1 Ca 0.000 0.500 0.500
Tb1 Tb 0.500 0.500 0.000
Tm1 Tm 0.000 0.000 0.000
Tm2 Tm 0.500 0.000 0.500
Se1 Se 0.000 0.757 0.747
Se2 Se 0.000 0.243 0.253
Se3 Se 0.500 0.758 0.247
Se4 Se 0.500 0.242 0.753

---

# 10
# K2H5Au, optimized geometry, DFT PBE-GGA
# Calculated volume in Å³/atom: 17.001
# Total energy in eV per atom: -2.944
# Space group: I4mm
data_K2H5Au
_space_group_name_H-M_alt 'P 1'
_space_group_IT_number 1
_cell_length_a 5.657
_cell_length_b 5.657
_cell_length_c 5.837
_cell_angle_alpha 118.99
_cell_angle_beta 118.98
_cell_angle_gamma 90.00
loop_
_space_group_symop_operation_xyz
'x,y,z'
loop_
_atom_site_label
_atom_site_type_symbol
_atom_site_fract_x
_atom_site_fract_y
_atom_site_fract_z
K1 K 0.249 0.749 0.497
K2 K 0.749 0.249 0.497
H1 H 0.801 0.213 0.015
H2 H 0.213 0.213 0.015
H3 H 0.801 0.801 0.015
H4 H 0.213 0.801 0.015
H5 H 0.762 0.762 0.524
Au1 Au 0.989 0.989 0.977

---

# 11
# YSb2Os, optimized geometry, DFT PBE-GGA
# Calculated volume in Å³/atom: 23.291
# Total energy in eV per atom: -6.648
# Space group: Imm2
data_YSb2Os
_space_group_name_H-M_alt 'P 1'
_space_group_IT_number 1
_cell_length_a 7.128
_cell_length_b 7.128
_cell_length_c 7.128
_cell_angle_alpha 153.06
_cell_angle_beta 145.29
_cell_angle_gamma 44.48
loop_
_space_group_symop_operation_xyz
'x,y,z'
loop_
_atom_site_label
_atom_site_type_symbol
_atom_site_fract_x
_atom_site_fract_y
_atom_site_fract_z
Os1 Os 0.219 0.719 0.500
Sb1 Sb 0.058 0.058 0.000
Sb2 Sb 0.778 0.278 0.500
Y1 Y 0.445 0.445 0.000

---

# 12
# SrYPdPb, optimized geometry, DFT PBE-GGA
# Calculated volume in Å³/atom: 27.333
# Total energy in eV per atom: -4.775
# Space group: F-43m
# Formation energy in eV/atom: -0.51
data_SrYPdPb
_space_group_name_H-M_alt 'P 1'
_space_group_IT_number 1
_cell_length_a 5.367
_cell_length_b 5.367
_cell_length_c 5.367
_cell_angle_alpha 60.00
_cell_angle_beta 60.00
_cell_angle_gamma 60.00
loop_
_space_group_symop_operation_xyz
'x,y,z'
loop_
_atom_site_label
_atom_site_type_symbol
_atom_site_fract_x
_atom_site_fract_y
_atom_site_fract_z
Pb1 Pb 0.500 0.500 0.500
Y1 Y 0.750 0.750 0.750
Pd1 Pd 0.000 0.000 0.000
Sr1 Sr 0.250 0.250 0.250

---

# 13
# KLiNi2, optimized geometry, DFT PBE-GGA
# Calculated volume in Å³/atom: 20.124
# Total energy in eV per atom: -3.285
# Space group: Pmm2
# Formation energy in eV/atom: 0.36
data_KLiNi2
_space_group_name_H-M_alt 'P 1'
_space_group_IT_number 1
_cell_length_a 2.775
_cell_length_b 3.619
_cell_length_c 8.015
_cell_angle_alpha 90.00
_cell_angle_beta 90.00
_cell_angle_gamma 90.00
loop_
_space_group_symop_operation_xyz
'x,y,z'
loop_
_atom_site_label
_atom_site_type_symbol
_atom_site_fract_x
_atom_site_fract_y
_atom_site_fract_z
K1 K 0.000 0.000 0.448
Li1 Li 0.500 0.500 0.853
Ni1 Ni 0.000 0.000 0.054
Ni2 Ni 0.500 0.500 0.146